Material: SmMgCuHg
Method: DFT, PBE
State: relaxed

Output
**Size of the total moment**: 0.00 μB/cell
**Crystal system**: cubic
**ΔH_f (0 K)**: -0.31 eV per atom

Cell lengths 7.0328, 7.0328, 7.0328 Å; angles 90.00, 90.00, 90.00 degrees
Last column: nearest neighbours and their distance in Å.
Space group F-43m (No. 216)
Symmetry-distinct sites (fractional):
Sm: 0.0000 0.0000 0.0000 x4  4 Hg 3.05, 4 Cu 3.05
Mg: 0.0000 0.0000 0.5000 x4  4 Cu 3.05, 4 Hg 3.05
Cu: 0.2500 0.2500 0.7500 x4  4 Mg 3.05, 4 Sm 3.05
Hg: 0.2500 0.2500 0.2500 x4  4 Mg 3.05, 4 Sm 3.05